DFT (GGA-PBE) results for Dy4Ho3Pt4 after structural relaxation.

* calculated formation energy: -0.916 eV per atom
* E_tot: -6.035 eV/atom
* DOS(E_F): 8.29 states/eV/f.u.
* magnetization: 0.00 μB/f.u.

abc: 3.7932 8.7642 9.4537
angles: 117.62 101.57 90.00
Closest atoms and distances in Å follow each position.
Atoms (fractional coordinates):
Ho (0.0986, 0.0986, 0.1972)  6 Pt 3.03-3.07, 1 Ho 3.22
Ho (0.9014, 0.9014, 0.8028)  6 Pt 3.03-3.07, 1 Ho 3.22
Ho (0.0000, 0.5000, 0.0000)  4 Pt 3.20
Pt (0.5000, 0.7939, 0.0000)  2 Dy 2.86, 6 Ho 3.07-3.20
Pt (0.2564, 0.7564, 0.5128)  6 Dy 2.91-3.02, 2 Ho 3.03
Pt (0.5000, 0.2061, 0.0000)  2 Dy 2.86, 6 Ho 3.07-3.20
Pt (0.7436, 0.2436, 0.4872)  6 Dy 2.91-3.02, 2 Ho 3.03
Dy (0.3345, 0.1472, 0.6689)  4 Pt 2.86-3.02
Dy (0.6655, 0.8528, 0.3311)  4 Pt 2.86-3.02
Dy (0.3345, 0.5217, 0.6689)  4 Pt 2.86-3.02
Dy (0.6655, 0.4783, 0.3311)  4 Pt 2.86-3.02

DFT (GGA-PBE) results for Dy2HoPt3 after structural relaxation.

* calculated formation energy: -1.232 eV per atom
* E_tot: -6.549 eV/atom
* relative energy among the computed polymorphs: 0 meV per atom
* DOS(E_F): 3.23 states/eV/f.u.
* magnetization: 0.00 μB/f.u.

abc: 3.4509 4.9595 14.8725
angles: 90.00 90.00 90.00
Closest atoms and distances in Å follow each position.
Atoms (fractional coordinates):
Dy (0.0006, 0.5000, 0.8334)  8 Pt 3.02-3.04
Dy (0.9994, 0.0000, 0.6666)  8 Pt 3.02-3.04
Dy (0.9994, 0.0000, 0.3334)  8 Pt 3.02-3.04
Dy (0.0006, 0.5000, 0.1666)  8 Pt 3.02-3.04
Pt (0.4996, 0.5000, 0.0000)  4 Dy 3.02, 4 Ho 3.02
Pt (0.5014, 0.0000, 0.1654)  2 Ho 3.00-3.01, 6 Dy 3.02-3.04
Pt (0.5014, 0.0000, 0.8346)  2 Ho 3.00-3.01, 6 Dy 3.02-3.04
Pt (0.4986, 0.5000, 0.3346)  2 Ho 3.00-3.01, 6 Dy 3.02-3.04
Pt (0.5004, 0.0000, 0.5000)  4 Dy 3.02, 4 Ho 3.02
Pt (0.4986, 0.5000, 0.6654)  2 Ho 3.00-3.01, 6 Dy 3.02-3.04
Ho (0.9993, 0.5000, 0.5000)  8 Pt 3.00-3.02
Ho (0.0007, 0.0000, 0.0000)  8 Pt 3.00-3.02

DFT (GGA-PBE) results for DyHo3Pt12 after structural relaxation.

* calculated formation energy: -1.048 eV per atom
* E_tot: -6.725 eV/atom
* DOS(E_F): 14.94 states/eV/f.u.
* magnetization: 0.00 μB/f.u.

abc: 4.1184 4.1184 16.4029
angles: 90.00 90.00 90.00
Closest atoms and distances in Å follow each position.
Atoms (fractional coordinates):
Pt (0.5000, 0.5000, 0.7497)  8 Pt 2.90, 4 Ho 2.91
Pt (0.0000, 0.5000, 0.6248)  8 Pt 2.90-2.91, 4 Ho 2.90
Pt (0.5000, 0.0000, 0.3752)  8 Pt 2.90-2.91, 4 Ho 2.90
Pt (0.0000, 0.5000, 0.1255)  2 Ho 2.90, 8 Pt 2.90-2.91, 2 Dy 2.91
Pt (0.5000, 0.5000, 0.5000)  8 Pt 2.90, 4 Ho 2.91
Pt (0.0000, 0.5000, 0.8745)  2 Ho 2.90, 8 Pt 2.90-2.91, 2 Dy 2.91
Pt (0.5000, 0.0000, 0.1255)  2 Ho 2.90, 8 Pt 2.90-2.91, 2 Dy 2.91
Pt (0.5000, 0.0000, 0.8745)  2 Ho 2.90, 8 Pt 2.90-2.91, 2 Dy 2.91
Pt (0.5000, 0.5000, 0.2503)  8 Pt 2.90, 4 Ho 2.91
Pt (0.0000, 0.5000, 0.3752)  8 Pt 2.90-2.91, 4 Ho 2.90
Pt (0.5000, 0.5000, 0.0000)  8 Pt 2.91, 4 Dy 2.91
Pt (0.5000, 0.0000, 0.6248)  8 Pt 2.90-2.91, 4 Ho 2.90
Ho (0.0000, 0.0000, 0.5000)  12 Pt 2.90-2.91
Ho (0.0000, 0.0000, 0.7497)  12 Pt 2.90-2.91
Ho (0.0000, 0.0000, 0.2503)  12 Pt 2.90-2.91
Dy (0.0000, 0.0000, 0.0000)  12 Pt 2.91

DFT (GGA-PBE) results for DyHoSiPt after structural relaxation.

* E_tot: -6.204 eV/atom
* DOS(E_F): 3.12 states/eV/f.u.
* magnetization: 0.00 μB/f.u.
* raw formation energy: -1.0432 eV per atom

abc: 3.9807 4.1640 5.7044
angles: 90.00 110.42 90.00
Closest atoms and distances in Å follow each position.
Atoms (fractional coordinates):
Pt (0.4225, 0.0000, 0.8451)  2 Si 2.66, 4 Dy 2.96
Si (0.5768, 0.5000, 0.1535)  2 Pt 2.66, 4 Ho 2.96
Dy (0.8592, 0.5000, 0.7185)  4 Pt 2.96, 3 Si 3.02-3.06
Ho (0.1415, 0.0000, 0.2829)  4 Si 2.96, 3 Pt 3.01-3.07

DFT (GGA-PBE) results for Dy2HoSi2Pt7 after structural relaxation.

* E_tot: -6.711 eV/atom
* DOS(E_F): 4.87 states/eV/f.u.
* magnetization: 0.00 μB/f.u.
* raw formation energy: -1.1345 eV per atom

abc: 4.0323 4.0323 13.7793
angles: 83.76 83.76 89.51
Closest atoms and distances in Å follow each position.
Atoms (fractional coordinates):
Pt (0.4398, 0.9394, 0.1612)  2 Si 2.41
Pt (0.5000, 0.5000, 0.0000)  4 Ho 2.84-2.86, 8 Pt 2.98
Pt (0.0606, 0.5602, 0.8388)  2 Si 2.41
Pt (0.6346, 0.6346, 0.5718)  1 Si 2.33
Pt (0.9394, 0.4398, 0.1612)  2 Si 2.41
Pt (0.5602, 0.0606, 0.8388)  2 Si 2.41
Pt (0.3654, 0.3654, 0.4282)  1 Si 2.33
Si (0.4039, 0.4039, 0.2576)  5 Pt 2.33-2.41
Si (0.5961, 0.5961, 0.7424)  5 Pt 2.33-2.41
Ho (0.0000, 0.0000, 0.0000)  12 Pt 2.84-2.98
Dy (0.8817, 0.8817, 0.3564)  7 Pt 2.97-3.30, 4 Si 3.09-3.24
Dy (0.1183, 0.1183, 0.6436)  7 Pt 2.97-3.30, 4 Si 3.09-3.24

DFT (GGA-PBE) results for DyHoSnPt after structural relaxation.

* calculated formation energy: -0.857 eV per atom
* E_tot: -5.663 eV/atom
* DOS(E_F): 1.27 states/eV/f.u.
* magnetization: 0.00 μB/f.u.

abc: 5.1360 5.1360 5.1360
angles: 60.00 60.00 60.00
Closest atoms and distances in Å follow each position.
Atoms (fractional coordinates):
Ho (0.5000, 0.5000, 0.5000)  4 Pt 3.15, 4 Sn 3.15
Sn (0.7500, 0.7500, 0.7500)  4 Dy 3.15, 4 Ho 3.15
Pt (0.2500, 0.2500, 0.2500)  4 Dy 3.15, 4 Ho 3.15
Dy (0.0000, 0.0000, 0.0000)  4 Sn 3.15, 4 Pt 3.15

DFT (GGA-PBE) results for DyHoTcPt after structural relaxation.

* calculated formation energy: -0.556 eV per atom
* E_tot: -6.953 eV/atom
* DOS(E_F): 3.12 states/eV/f.u.
* magnetization: 0.00 μB/f.u.

abc: 4.8605 4.8605 4.8605
angles: 60.00 60.00 60.00
Closest atoms and distances in Å follow each position.
Atoms (fractional coordinates):
Dy (0.5000, 0.5000, 0.5000)  4 Tc 2.98, 4 Pt 2.98
Tc (0.7500, 0.7500, 0.7500)  4 Dy 2.98, 4 Ho 2.98
Pt (0.2500, 0.2500, 0.2500)  4 Dy 2.98, 4 Ho 2.98
Ho (0.0000, 0.0000, 0.0000)  4 Pt 2.98, 4 Tc 2.98

DFT (GGA-PBE) results for Dy3Ho8Pu after structural relaxation.

* calculated formation energy: 0.603 eV per atom
* E_tot: -4.794 eV/atom
* DOS(E_F): 15.44 states/eV/f.u.
* magnetization: 4.14 μB/f.u.

abc: 8.5815 8.2929 8.5815
angles: 58.84 90.00 121.16
Closest atoms and distances in Å follow each position.
Atoms (fractional coordinates):
Pu (0.0000, 0.0000, 0.0000)  8 Ho 2.83-3.04
Ho (0.1985, 0.9350, 0.2635)  1 Pu 2.83
Ho (0.3591, 0.4651, 0.8940)  1 Pu 3.04, 3 Ho 3.07-3.25, 3 Dy 3.39
Ho (0.8015, 0.0650, 0.1985)  1 Pu 2.83
Ho (0.6409, 0.5349, 0.3591)  1 Pu 3.04, 3 Ho 3.07-3.25, 3 Dy 3.39
Ho (0.8940, 0.5349, 0.1060)  1 Pu 3.04, 3 Ho 3.07-3.25, 3 Dy 3.39
Ho (0.2635, 0.0650, 0.7365)  1 Pu 2.83
Ho (0.7365, 0.9350, 0.8015)  1 Pu 2.83
Ho (0.1060, 0.4651, 0.6409)  1 Pu 3.04, 3 Ho 3.07-3.25, 3 Dy 3.39
Dy (0.7500, 0.5000, 0.7500)  4 Ho 3.39
Dy (0.2500, 0.5000, 0.2500)  4 Ho 3.39
Dy (0.5000, 0.0000, 0.5000)  8 Ho 3.28-3.39